No. 1
This record from the Alexandria database describes a geometry-optimized OsRu structure. The functional is PBE.

total energy	-9.826	eV/atom
ΔH_f (0 K)	427	meV per atom
D(E_F)	1.03	states/eV/atom

Cell: 2.699 4.326 10.517 Å, 90.00 90.00 90.00°
Fractional coordinates of all 8 atoms:
Os1 0.000 0.250 0.145
Os2 0.000 0.750 0.855
Os3 0.500 0.250 0.355
Os4 0.500 0.750 0.645
Ru1 0.000 0.250 0.581
Ru2 0.000 0.750 0.419
Ru3 0.500 0.250 0.919
Ru4 0.500 0.750 0.081



No. 2
This record from the Alexandria database describes a geometry-optimized BaCuSI2 structure. The functional is PBE.

total energy	-2.744	eV/atom
D(E_F)	0.59	states/eV/atom

Cell: 5.622 5.622 6.042 Å, 90.00 90.00 90.00°
Fractional coordinates of all 5 atoms:
Ba1 0.000 0.000 0.000
Cu1 0.500 0.500 0.000
S1 0.000 0.000 0.500
I1 0.000 0.500 0.500
I2 0.500 0.000 0.500



- Number 2 is which compound?
  BaCuSI2